# Na3CrO, relaxed, DFT GGA+U
# VASP energy in eV per formula unit: -18.1
# V in Å³/cell: 107.3
# Size of the total moment in μB per atom: 1.02
data_Na3CrO
_cell_length_a 4.752
_cell_length_b 4.752
_cell_length_c 4.752
_cell_angle_alpha 90.00
_cell_angle_beta 90.00
_cell_angle_gamma 90.00
_space_group_name_H-M_alt 'P m -3 m'
_space_group_IT_number 221
_space_group_name_Hall '-P 4 2 3'
loop_
_atom_site_label
_atom_site_fract_x
_atom_site_fract_y
_atom_site_fract_z
Na1 0.000 0.000 0.500
Cr1 0.500 0.500 0.500
O1 0.000 0.000 0.000



# Na2CrO4, relaxed, DFT GGA+U
# VASP energy in eV per formula unit: -41.1
# V in Å³/cell: 2071.1
# Size of the total moment in μB per atom: 0.01
data_Na2CrO4
_cell_length_a 15.1529
_cell_length_b 15.1529
_cell_length_c 10.4154
_cell_angle_alpha 90.00
_cell_angle_beta 90.00
_cell_angle_gamma 120.00
_space_group_name_H-M_alt 'R -3'
_space_group_IT_number 148
_space_group_name_Hall '-R 3'
loop_
_atom_site_label
_atom_site_fract_x
_atom_site_fract_y
_atom_site_fract_z
Na1 0.0349 0.2414 0.4289
Na2 0.0474 0.2025 0.0968
Cr1 0.0343 0.2249 0.7521
O1 0.0014 0.6265 0.5422
O2 0.0594 0.1746 0.8795
O3 0.0873 0.8551 0.2877
O4 0.0930 0.5371 0.2949



# Na8CrO6, relaxed, DFT GGA+U
# VASP energy in eV per formula unit: -67.8
# V in Å³/cell: 438.7
# Size of the total moment in μB per atom: 0.13
data_Na8CrO6
_cell_length_a 6.812
_cell_length_b 6.802
_cell_length_c 9.467
_cell_angle_alpha 90.00
_cell_angle_beta 90.00
_cell_angle_gamma 90.00
_space_group_name_H-M_alt 'P m n 21'
_space_group_IT_number 31
_space_group_name_Hall 'P 2ac -2'
loop_
_atom_site_label
_atom_site_fract_x
_atom_site_fract_y
_atom_site_fract_z
Na1 0.000 0.148 0.000
Na2 0.000 0.205 0.473
Na3 0.184 0.612 0.129
Na4 0.194 0.599 0.819
Na5 0.248 0.980 0.752
Cr1 0.000 0.718 0.480
O1 0.000 0.269 0.237
O2 0.000 0.501 0.597
O3 0.000 0.785 0.967
O4 0.000 0.929 0.595
O5 0.217 0.722 0.368



# NaCr3O, relaxed, DFT GGA+U
# VASP energy in eV per formula unit: -28.6
# V in Å³/cell: 89.2
# Size of the total moment in μB per atom: 2.64
data_NaCr3O
_cell_length_a 4.469
_cell_length_b 4.469
_cell_length_c 4.469
_cell_angle_alpha 90.00
_cell_angle_beta 90.00
_cell_angle_gamma 90.00
_space_group_name_H-M_alt 'P m -3 m'
_space_group_IT_number 221
_space_group_name_Hall '-P 4 2 3'
loop_
_atom_site_label
_atom_site_fract_x
_atom_site_fract_y
_atom_site_fract_z
Na1 0.000 0.000 0.000
Cr1 0.000 0.500 0.500
O1 0.500 0.500 0.500



# NaCrO3, relaxed, DFT GGA+U
# VASP energy in eV per formula unit: -29.9
# V in Å³/cell: 495.6
# Size of the total moment in μB per atom: 0.00
data_NaCrO3
_cell_length_a 5.7805
_cell_length_b 5.7805
_cell_length_c 17.1257
_cell_angle_alpha 90.00
_cell_angle_beta 90.00
_cell_angle_gamma 120.00
_space_group_name_H-M_alt 'R -3'
_space_group_IT_number 148
_space_group_name_Hall '-R 3'
loop_
_atom_site_label
_atom_site_fract_x
_atom_site_fract_y
_atom_site_fract_z
Na1 0.0000 0.0000 0.1601
Cr1 0.0000 0.0000 0.4284
O1 0.0089 0.7208 0.4222



# NaCr3O, relaxed, DFT GGA+U
# VASP energy in eV per formula unit: -20.7
# V in Å³/cell: 132.4
# Size of the total moment in μB per atom: 3.00
data_NaCr3O
_cell_length_a 5.097
_cell_length_b 5.097
_cell_length_c 5.097
_cell_angle_alpha 90.00
_cell_angle_beta 90.00
_cell_angle_gamma 90.00
_space_group_name_H-M_alt 'P m -3 m'
_space_group_IT_number 221
_space_group_name_Hall '-P 4 2 3'
loop_
_atom_site_label
_atom_site_fract_x
_atom_site_fract_y
_atom_site_fract_z
Na1 0.000 0.000 0.000
Cr1 0.000 0.000 0.500
O1 0.500 0.500 0.500